No. 1
Below is a relaxed structure of Dy2ScBi, with properties calculated at the GGA-PBE level.

a = 4.578 Å, b = 4.529 Å, c = 11.254 Å
α = 90.00°, β = 101.73°, γ = 90.00°
Space group P2_1/m (No. 11)
Asymmetric unit:
Dy  0.062  0.250  0.124 x2
Dy  0.435  0.250  0.871 x2
Sc  0.311  0.750  0.622 x2
Bi  0.176  0.750  0.350 x2

energy relative to the elements	-127	kJ/mol of formula units
energy relative to the lowest polymorph listed for this composition	0.0416	eV/atom

=====

No. 2
Below is a relaxed structure of Tb2Pm12Ho5, with properties calculated at the GGA-PBE level.

a = 17.896 Å, b = 11.698 Å, c = 6.214 Å
α = 90.00°, β = 102.61°, γ = 90.00°
Space group C2/m (No. 12)
Asymmetric unit:
Tb  0.000  0.229  0.000 x4
Pm  0.056  0.500  0.274 x4
Pm  0.104  0.249  0.616 x8
Pm  0.121  0.000  0.000 x4
Pm  0.197  0.258  0.199 x8
Ho  0.000  0.000  0.500 x2
Ho  0.177  0.500  0.860 x4
Ho  0.215  0.000  0.552 x4

energy relative to the elements	184	kJ/mol of formula units
energy relative to the lowest polymorph listed for this composition	0.0000	eV/atom

=====

No. 3
Below is a relaxed structure of V3GaAs, with properties calculated at the GGA-PBE level.

a = 13.223 Å, b = 4.776 Å, c = 9.058 Å
α = 90.00°, β = 99.29°, γ = 90.00°
Space group C2/c (No. 15)
Asymmetric unit:
V  0.055  0.243  0.020 x8
V  0.093  0.493  0.771 x8
V  0.201  0.033  0.272 x8
Ga  0.148  0.260  0.529 x8
As  0.000  0.001  0.250 x4
As  0.250  0.250  0.000 x4

energy relative to the elements	-74	kJ/mol of formula units
energy relative to the lowest polymorph listed for this composition	0.0000	eV/atom

=====

No. 4
Below is a relaxed structure of NbTc, with properties calculated at the GGA-PBE level.

a = 7.639 Å, b = 7.639 Å, c = 7.639 Å
α = 90.00°, β = 90.00°, γ = 90.00°
Space group I-43m (No. 217)
Asymmetric unit:
Nb  0.199  0.199  0.199 x8
Tc  0.129  0.129  0.871 x8

energy relative to the elements	334	kJ/mol of formula units

=====

No. 5
Below is a relaxed structure of Hg2PtW, with properties calculated at the GGA-PBE level.

a = 9.625 Å, b = 2.914 Å, c = 5.261 Å
α = 90.00°, β = 99.75°, γ = 90.00°
Space group C2/m (No. 12)
Asymmetric unit:
Hg  0.249  0.000  0.250 x4
Pt  0.000  0.000  0.500 x2
W  0.000  0.500  0.000 x2

energy relative to the elements	213	kJ/mol of formula units
energy relative to the lowest polymorph listed for this composition	0.3469	eV/atom

=====

No. 6
Below is a relaxed structure of CdP, with properties calculated at the GGA-PBE level.

a = 3.391 Å, b = 3.391 Å, c = 3.391 Å
α = 90.00°, β = 90.00°, γ = 90.00°
Space group Pm-3m (No. 221)
Asymmetric unit:
Cd  0.000  0.000  0.000 x1
P  0.500  0.500  0.500 x1

energy relative to the elements	96	kJ/mol of formula units
energy relative to the lowest polymorph listed for this composition	0.5378	eV/atom

=====

No. 7
Below is a relaxed structure of LaCoSe2, with properties calculated at the GGA-PBE level.

a = 4.242 Å, b = 6.178 Å, c = 7.050 Å
α = 90.00°, β = 90.00°, γ = 90.00°
Space group Cmmm (No. 65)
Asymmetric unit:
La  0.000  0.000  0.000 x2
Co  0.000  0.000  0.500 x2
Se  0.000  0.500  0.279 x4

energy relative to the lowest polymorph listed for this composition	0.3774	eV/atom
uncorrected formation energy	-0.66	eV per atom

=====

No. 8
Below is a relaxed structure of SrAl2ZnAu4, with properties calculated at the GGA-PBE level.

a = 4.4304 Å, b = 4.4304 Å, c = 28.6340 Å
α = 90.00°, β = 90.00°, γ = 120.00°
Space group R-3m (No. 166, hexagonal axes)
Asymmetric unit:
Sr  0.0000  0.0000  0.0000 x3
Al  0.0000  0.0000  0.2391 x6
Zn  0.0000  0.0000  0.5000 x3
Au  0.0000  0.0000  0.1349 x6
Au  0.0000  0.0000  0.4048 x6

energy relative to the elements	-350	kJ/mol of formula units

=====

No. 9
Below is a relaxed structure of PmIrO, with properties calculated at the GGA-PBE level.

a = 4.065 Å, b = 12.770 Å, c = 4.322 Å
α = 90.00°, β = 90.00°, γ = 90.00°
Space group Cmcm (No. 63)
Asymmetric unit:
Pm  0.000  0.163  0.250 x4
Ir  0.000  0.466  0.250 x4
O  0.000  0.246  0.750 x4

uncorrected formation energy	-1.68	eV per atom

=====

No. 10
Below is a relaxed structure of La2AlTl, with properties calculated at the GGA-PBE level.

a = 3.891 Å, b = 5.527 Å, c = 5.526 Å
α = 90.00°, β = 90.00°, γ = 90.00°
Space group Pmm2 (No. 25)
Asymmetric unit:
La  0.000  0.000  0.000 x1
La  0.000  0.500  0.499 x1
Al  0.500  0.500  0.999 x1
Tl  0.500  0.000  0.500 x1

energy relative to the elements	-141	kJ/mol of formula units

=====

No. 11
Below is a relaxed structure of LiPuSnGe, with properties calculated at the GGA-PBE level.

a = 4.305 Å, b = 4.310 Å, c = 4.667 Å
α = 90.00°, β = 90.00°, γ = 90.00°
Space group Pmmm (No. 47)
Asymmetric unit:
Li  0.000  0.000  0.000 x1
Pu  0.000  0.500  0.500 x1
Sn  0.500  0.500  0.000 x1
Ge  0.500  0.000  0.500 x1

energy relative to the elements	-132	kJ/mol of formula units
energy relative to the lowest polymorph listed for this composition	0.0000	eV/atom

=====

No. 12
Below is a relaxed structure of YTa3Ir, with properties calculated at the GGA-PBE level.

a = 4.786 Å, b = 4.786 Å, c = 4.786 Å
α = 90.00°, β = 90.00°, γ = 90.00°
Space group Pm-3m (No. 221)
Asymmetric unit:
Y  0.000  0.000  0.000 x1
Ta  0.000  0.000  0.500 x3
Ir  0.500  0.500  0.500 x1

energy relative to the elements	1254	kJ/mol of formula units
energy relative to the lowest polymorph listed for this composition	1.8930	eV/atom